(1)
A relaxed structure of Tb4Y2Ho2Er, computed with PBE.

The structure in extended XYZ format:
```
9
Lattice="-0.884 2.943 1.843 -8.109 -1.751 -4.579 1.167 -4.757 8.155" Properties=species:S:1:pos:R:3 pbc="T T T"
Tb -7.458 -3.447 1.924
Y -6.077 -0.310 1.061
Tb -5.053 -1.877 4.055
Ho -3.290 1.374 -0.290
Y -1.750 -3.255 4.357
Tb -2.773 -1.688 1.364
Tb -0.369 -0.119 3.495
Ho -4.536 -4.940 5.709
Er 0.000 0.000 0.000
```

Results
- symmetry = C2/m, No. 12


(2)
A relaxed structure of TbSm6Ho2Th, computed with PBE.

The structure in extended XYZ format:
```
20
Lattice="9.152 -2.085 -2.164 0.889 8.563 -1.897 0.889 -2.213 8.487" Properties=species:S:1:pos:R:3 pbc="T T T"
Ho 5.484 -0.081 0.919
Sm 2.219 4.492 -1.384
Sm 1.309 -0.850 6.115
Sm 4.135 6.856 1.069
Sm 8.794 -0.444 1.903
Sm 9.621 5.115 -1.690
Sm 2.136 4.709 2.522
Ho 5.446 4.346 3.506
Th 3.177 7.711 -2.120
Sm 4.218 2.961 0.709
Tb 7.753 2.604 0.714
Ho 0.908 1.964 1.035
Tb 3.177 1.660 3.711
Ho 10.022 2.300 3.390
Sm 5.045 -0.836 6.130
Sm 5.884 5.100 -1.705
Th 7.753 -3.447 6.545
Sm 8.711 -0.228 5.809
Sm 6.712 1.304 3.717
Sm 6.795 -2.592 3.356
```

Results
- symmetry = C2/c, No. 15


(3)
A relaxed structure of In2CuSe, computed with PBE.

The structure in extended XYZ format:
```
8
Lattice="-0.951 3.440 -5.473 2.056 -5.083 -3.552 -4.677 -2.732 -4.805" Properties=species:S:1:pos:R:3 pbc="T T T"
Cu 0.552 -0.822 -4.512
Se 0.000 0.000 0.000
In -3.040 -2.798 -7.080
In -2.595 -3.355 -11.408
In -1.482 0.742 -4.923
In -0.028 -3.341 -4.248
Cu -1.034 -4.319 -6.435
Se -2.538 -0.057 -7.395
```

Results
- symmetry = I-42d, No. 122
- energy relative to the elements, uncorrected (eV per atom) = 0.0022


(4)
A relaxed structure of DyHoSn2, computed with PBE.

The structure in extended XYZ format:
```
4
Lattice="3.848 0.000 0.000 1.924 3.332 0.000 1.924 1.111 8.911" Properties=species:S:1:pos:R:3 pbc="T T T"
Sn 5.771 3.332 6.691
Sn 1.924 1.111 2.220
Dy 3.848 2.221 4.456
Ho 0.000 0.000 0.000
```

Results
- symmetry = R-3m, No. 166


(5)
A relaxed structure of Co2HPtW, computed with PBE.

The structure in extended XYZ format:
```
5
Lattice="-2.137 -2.596 -1.826 -1.281 -1.309 3.360 -2.812 2.409 -0.134" Properties=species:S:1:pos:R:3 pbc="T T T"
H 0.000 0.000 0.000
Co -0.641 -0.654 1.680
Pt -1.406 1.204 -0.067
Co -1.069 -1.298 -0.913
W -3.115 -0.748 0.700
```

Results
- polymorph energy (0 for the lowest one) (meV/atom) = 63.5
- symmetry = P4/mmm, No. 123


(6)
A relaxed structure of KNaTlPt, computed with PBE.

The structure in extended XYZ format:
```
4
Lattice="-2.246 4.222 -0.313 -1.431 -3.630 -2.784 -2.033 -3.326 5.566" Properties=species:S:1:pos:R:3 pbc="T T T"
K -1.901 -0.087 2.241
Tl -2.467 2.139 -0.449
Pt -2.071 -0.440 -1.413
Na -2.986 -5.994 2.399
```

Results
- polymorph energy (0 for the lowest one) (meV/atom) = 0.0
- symmetry = Cm, No. 8


(7)
A relaxed structure of Sb5Ir4, computed with PBE.

The structure in extended XYZ format:
```
18
Lattice="-7.364 -0.674 -3.486 5.702 -5.700 -1.356 -2.003 -3.155 4.841" Properties=species:S:1:pos:R:3 pbc="T T T"
Ir 1.557 -2.846 0.721
Sb -0.984 -2.640 -0.196
Ir -3.158 -1.032 -0.048
Sb 1.346 -4.025 -2.066
Sb -3.641 -2.562 2.618
Sb -2.682 -6.889 0.194
Ir -1.001 -1.578 2.420
Ir 2.142 -6.010 2.764
Ir -2.102 -4.666 1.883
Ir -6.209 -2.797 1.402
Sb -3.009 -2.349 -2.776
Sb 3.545 -4.833 0.248
Sb -5.726 -1.267 -1.264
Sb 0.345 -5.602 0.354
Ir 0.000 0.000 0.000
Sb -4.010 -3.927 -0.356
Sb 0.154 -4.022 3.237
Ir -1.563 -4.863 -1.885
```

Results
- symmetry = P6_3/mcm, No. 193
- energy relative to the elements, uncorrected (eV per atom) = 0.3053


(8)
A relaxed structure of BeCd2Pb, computed with PBE.

The structure in extended XYZ format:
```
4
Lattice="7.126 0.029 0.022 5.092 4.985 -0.022 -5.771 -3.332 2.526" Properties=species:S:1:pos:R:3 pbc="T T T"
Pb 5.282 2.167 0.000
Be 2.645 2.051 1.252
Cd 3.672 -0.423 1.274
Cd 0.959 0.393 0.000
```

Results
- polymorph energy (0 for the lowest one) (meV/atom) = 0.0
- symmetry = Imm2, No. 44


(9)
A relaxed structure of Cu2TcHg2, computed with PBE.

The structure in extended XYZ format:
```
10
Lattice="-5.238 -2.784 -4.519 4.957 -4.835 -2.768 -0.746 -1.946 2.063" Properties=species:S:1:pos:R:3 pbc="T T T"
Hg -1.162 -2.733 -0.913
Tc 0.000 0.000 0.000
Cu 2.371 -5.323 -4.163
Hg -3.082 -4.806 -3.563
Cu -2.653 -2.296 -3.124
Hg 2.055 -4.758 -1.661
Cu -1.550 -5.445 -5.695
Hg 0.134 -6.832 -4.310
Tc -0.141 -3.809 -3.643
Cu 1.269 -2.174 -1.592
```

Results
- polymorph energy (0 for the lowest one) (meV/atom) = 0.0
- symmetry = P4/mbm, No. 127


(10)
A relaxed structure of Pr6SmDy8, computed with PBE.

The structure in extended XYZ format:
```
15
Lattice="-1.077 -9.089 0.512 6.987 -5.300 2.668 -0.103 -4.175 7.723" Properties=species:S:1:pos:R:3 pbc="T T T"
Dy 4.149 -12.369 5.555
Pr 1.479 -2.689 1.679
Dy 0.733 -11.805 5.584
Dy 1.658 -6.194 5.348
Pr 2.312 -13.082 8.337
Pr 5.688 -12.591 9.341
Pr 0.119 -5.973 1.562
Dy 2.427 -9.139 6.981
Dy 5.073 -6.758 5.319
Pr 3.495 -5.481 2.566
Dy -0.029 -8.863 3.928
Pr 4.328 -15.874 9.224
Sm 0.000 0.000 0.000
Dy 3.379 -9.424 3.922
Dy 5.836 -9.701 6.975
```

Results
- symmetry = R-3, No. 148


(11)
A relaxed structure of Pm3Nd3YTe8, computed with PBE.

The structure in extended XYZ format:
```
15
Lattice="-1.627 3.137 -8.200 7.443 -4.666 1.600 -7.926 -4.096 0.006" Properties=species:S:1:pos:R:3 pbc="T T T"
Te 4.245 -3.323 -4.549
Nd -4.776 -0.480 -4.097
Te -6.355 -2.302 -2.046
Te 0.531 -0.994 -5.347
Pm 2.908 -0.765 -3.300
Te 1.342 -2.558 -1.245
Nd -0.241 -4.381 0.803
Te -2.640 -4.632 -1.248
Te -3.451 -3.068 -5.350
Te -7.170 -0.731 -6.154
Pm 0.000 0.000 0.000
Nd -1.055 -2.813 -3.297
Te 5.060 -4.895 -0.441
Pm 3.721 -2.333 0.800
Y -3.963 -2.048 0.003
```

Results
- symmetry = R-3m, No. 166
- energy relative to the elements, uncorrected (eV per atom) = -1.4493


(12)
A relaxed structure of TiGaSe, computed with PBE.

The structure in extended XYZ format:
```
6
Lattice="-2.362 2.010 -1.537 -0.279 -3.364 -3.971 -6.422 -5.957 2.078" Properties=species:S:1:pos:R:3 pbc="T T T"
Se -6.138 -4.638 -2.480
Ti -6.173 -6.471 -0.925
Se -2.925 -2.673 -0.950
Ga -6.233 -4.925 1.190
Ti -2.890 -0.841 -2.505
Ga -2.829 -2.387 -4.620
```

Results
- symmetry = Cmcm, No. 63
- energy relative to the elements, uncorrected (eV per atom) = -0.1824


(13)
A relaxed structure of Cs2PtCl4F2, computed with PBE.

The structure in extended XYZ format:
```
9
Lattice="7.304 -0.219 -0.316 -3.698 6.303 0.316 -3.698 -1.919 6.012" Properties=species:S:1:pos:R:3 pbc="T T T"
Cl -3.698 0.006 4.678
Cl -1.780 3.241 4.678
Pt 0.000 0.000 0.000
Cl 1.689 0.924 1.334
F -6.012 3.564 5.143
Cs -0.046 4.138 1.582
Cl -3.698 4.378 1.649
Cs -0.046 0.027 4.430
F -1.384 0.820 1.184
```

Results
- symmetry = I4/mmm, No. 139
- energy relative to the elements, uncorrected (eV per atom) = -1.5493


(14)
A relaxed structure of ZrMn3Nb2, computed with PBE.

The structure in extended XYZ format:
```
6
Lattice="-2.173 -1.389 -1.726 2.084 -2.102 -0.933 -2.267 -5.466 7.253" Properties=species:S:1:pos:R:3 pbc="T T T"
Mn -0.727 -1.753 2.326
Mn -1.540 -3.713 4.927
Zr -1.178 -4.479 2.297
Mn 0.000 0.000 0.000
Nb -0.417 -2.644 -0.137
Nb -1.939 -6.313 4.731
```

Results
- symmetry = P4/mmm, No. 123


(15)
A relaxed structure of Ti2Be3, computed with PBE.

The structure in extended XYZ format:
```
10
Lattice="-2.508 -0.840 2.606 -3.837 -1.113 -4.051 1.698 -5.430 -0.116" Properties=species:S:1:pos:R:3 pbc="T T T"
Ti -0.773 -4.259 0.529
Be -1.070 -3.272 -2.084
Be 0.121 -2.147 -0.576
Ti -2.221 -1.718 -0.047
Be 0.000 0.000 0.000
Be -2.200 -1.417 -2.574
Ti -2.426 -5.664 -1.515
Ti -3.874 -3.124 -2.090
Be -2.260 -4.396 -3.592
Be 0.061 -5.126 -1.593
```

Results
- polymorph energy (0 for the lowest one) (meV/atom) = 0.0
- symmetry = P4/mbm, No. 127


(16)
A relaxed structure of Rh2PbC, computed with PBE.

The structure in extended XYZ format:
```
8
Lattice="5.531 0.000 0.000 0.000 5.531 0.000 2.766 2.766 4.750" Properties=species:S:1:pos:R:3 pbc="T T T"
C 2.766 5.531 2.375
Rh 2.080 4.148 1.187
Rh 6.914 6.217 3.562
Pb 5.531 2.766 2.375
C 2.766 2.766 0.000
Pb 0.000 0.000 0.000
Rh 3.451 1.383 1.187
Rh 4.148 4.846 3.562
```

Results
- polymorph energy (0 for the lowest one) (meV/atom) = 0.0
- symmetry = I-42d, No. 122


(17)
A relaxed structure of Sm2Th3Sc2, computed with PBE.

The structure in extended XYZ format:
```
7
Lattice="-2.019 -2.817 0.564 2.417 -2.039 -1.534 8.791 -1.056 15.258" Properties=species:S:1:pos:R:3 pbc="T T T"
Sm 5.779 -2.467 8.362
Sm 3.410 -3.445 5.927
Sc 4.619 -3.191 11.523
Th 7.866 -3.128 12.529
Th 0.000 0.000 0.000
Sc 2.153 -0.682 4.299
Th 1.323 -2.784 1.760
```

Results
- symmetry = Cmmm, No. 65


(18)
A relaxed structure of DySc8Bi6, computed with PBE.

The structure in extended XYZ format:
```
15
Lattice="-7.236 0.145 3.457 -3.178 -6.754 2.936 -0.216 -0.798 8.887" Properties=species:S:1:pos:R:3 pbc="T T T"
Sc -8.164 -3.930 7.964
Sc -4.286 -6.162 6.559
Sc -6.345 -1.245 8.720
Dy 0.000 0.000 0.000
Bi -3.418 -1.031 8.637
Sc -2.467 -3.477 7.315
Bi -7.656 -1.884 5.921
Bi -3.874 -4.057 4.551
Sc -5.893 -5.853 9.460
Sc -3.695 -3.004 11.002
Sc -4.738 -1.554 5.819
Bi -7.213 -6.376 6.642
Bi -6.757 -3.350 10.728
Bi -2.975 -5.523 9.358
Sc -6.936 -4.403 4.277
```

Results
- symmetry = R-3, No. 148


(19)
A relaxed structure of IrSI, computed with PBE.

The structure in extended XYZ format:
```
12
Lattice="-5.307 -1.045 -4.636 1.762 -2.732 -1.401 -2.370 -7.138 10.941" Properties=species:S:1:pos:R:3 pbc="T T T"
Ir -5.734 -6.882 6.210
S -4.468 -3.954 2.093
I -1.485 -3.072 -0.348
I -3.550 -5.275 5.823
I -5.609 -7.622 3.339
S -4.772 -8.889 6.864
Ir -4.378 -3.006 -4.115
Ir -6.444 -5.209 2.056
Ir -3.669 -4.679 0.039
S -0.314 -4.876 4.643
I -5.305 -2.687 -1.431
S -2.380 -7.079 10.814
```

Results
- polymorph energy (0 for the lowest one) (meV/atom) = 168.3
- symmetry = Cm, No. 8
- energy relative to the elements, uncorrected (eV per atom) = -0.0385


(20)
A relaxed structure of Ce3YTh2Se6, computed with PBE.

The structure in extended XYZ format:
```
12
Lattice="-5.009 -5.039 -1.419 7.021 -1.792 0.002 -1.049 0.776 7.109" Properties=species:S:1:pos:R:3 pbc="T T T"
Se 1.262 -4.982 0.705
Se 2.691 -4.043 4.517
Ce -3.496 -4.101 2.377
Se -1.234 -5.103 4.054
Th 3.003 -2.876 -0.473
Th -0.991 -3.955 -0.944
Ce 0.481 -3.027 2.846
Se -0.299 -1.073 4.987
Ce 4.459 -1.954 3.316
Y 0.000 0.000 0.000
Se 2.197 -0.952 1.638
Se -1.729 -2.011 1.175
```

Results
- symmetry = C2/m, No. 12
- energy relative to the elements, uncorrected (eV per atom) = -1.7202


no.,total DFT energy (no corrections) (eV per cell),spin magnetization (μB/cell)
1,-45.13,0.0
2,-96.10,0.0
3,-26.10,0.0
4,-19.27,0.0
5,-36.06,0.2
6,-11.36,0.0
7,-106.62,0.0
8,-8.06,0.0
9,-32.87,0.9
10,-68.41,0.0
11,-81.89,0.0
12,-29.91,0.0
13,-32.82,0.0
14,-56.76,0.3
15,-55.19,0.0
16,-52.74,0.0
17,-43.71,0.0
18,-84.87,5.1
19,-58.62,0.0
20,-80.66,2.6